Density functional theory data (PBE) for crystalline CaLaMnN4 at its relaxed geometry.

Values from the calculation:
- final energy (eV per atom) = -7.818
- spin magnetization (μB per formula unit) = 0.00

Lattice parameters (Å, degrees): 5.674 5.377 7.220 90.00 102.37 90.00
Sites, in units of the cell vectors:
N 0.449 0.750 0.157
N 0.356 0.750 0.515
N 0.043 0.001 0.236
N 0.957 0.999 0.764
N 0.043 0.499 0.236
N 0.644 0.250 0.485
N 0.551 0.250 0.843
N 0.957 0.501 0.764
Mn 0.227 0.750 0.279
Mn 0.773 0.250 0.721
La 0.230 0.250 0.531
La 0.770 0.750 0.469
Ca 0.244 0.250 0.033
Ca 0.756 0.750 0.967